1.
Computed, not measured: a geometry-optimized KU2Cl7 structure at the GGA-PBE level of DFT.

## Properties
**Raw formation energy**: -17.07 eV/f.u.
**E**: -5.37 eV per atom

a = 8.7386 Å, b = 14.1234 Å, c = 5.4576 Å
α = 90.00°, β = 90.00°, γ = 90.00°
Space group Cmmm (No. 65)
One atom of each set of equivalent atoms:
1 K 0.0000 0.0000 0.0000 [2 per cell]
2 U 0.0000 0.3048 0.5000 [4 per cell]
3 Cl 0.0000 0.2904 0.0000 [4 per cell]
4 Cl 0.0000 0.5000 0.5000 [2 per cell]
5 Cl 0.1869 0.1384 0.5000 [8 per cell]

2.
Computed, not measured: a geometry-optimized KUCl6 structure at the GGA-PBE level of DFT.

## Properties
**Offset from the most stable computed form**: 41 meV per atom
**Raw formation energy**: -13.82 eV/f.u.
**E**: -4.66 eV per atom

a = 7.1796 Å, b = 7.1796 Å, c = 19.8104 Å
α = 90.00°, β = 90.00°, γ = 120.00°
Space group R-3m (No. 166, hexagonal axes)
One atom of each set of equivalent atoms:
1 K 0.0000 0.0000 0.0000 [3 per cell]
2 U 0.0000 0.0000 0.5000 [3 per cell]
3 Cl 0.0029 0.5015 0.0919 [18 per cell]

3.
Computed, not measured: a geometry-optimized KU2Cl8 structure at the GGA-PBE level of DFT.

## Properties
**Raw formation energy**: -19.47 eV/f.u.
**E**: -5.27 eV per atom

a = 8.6022 Å, b = 12.7136 Å, c = 5.4786 Å
α = 90.00°, β = 100.35°, γ = 90.00°
Space group C2/m (No. 12)
One atom of each set of equivalent atoms:
1 K 0.0000 0.0000 0.0000 [2 per cell]
2 U 0.0000 0.3198 0.5000 [4 per cell]
3 Cl 0.0000 0.2592 0.0000 [4 per cell]
4 Cl 0.1004 0.5000 0.7786 [4 per cell]
5 Cl 0.1917 0.1369 0.5752 [8 per cell]

4.
Computed, not measured: a geometry-optimized K2UCl6 structure at the GGA-PBE level of DFT.

## Properties
**Raw formation energy**: -16.93 eV/f.u.
**E**: -4.61 eV per atom

a = 6.9947 Å, b = 6.9947 Å, c = 13.6242 Å
α = 90.00°, β = 90.00°, γ = 90.00°
Space group P4_2/mnm (No. 136)
One atom of each set of equivalent atoms:
1 K 0.0000 0.0000 0.1651 [4 per cell]
2 U 0.0000 0.0000 0.5000 [2 per cell]
3 Cl 0.1824 0.1824 0.3591 [8 per cell]
4 Cl 0.2326 0.2326 0.0000 [4 per cell]

5.
Computed, not measured: a geometry-optimized K2UCl8 structure at the GGA-PBE level of DFT.

## Properties
**Offset from the most stable computed form**: 0 meV per atom
**Raw formation energy**: -17.73 eV/f.u.
**E**: -4.18 eV per atom

a = 6.2297 Å, b = 6.2658 Å, c = 10.8574 Å
α = 104.56°, β = 105.23°, γ = 90.93°
Space group P-1 (No. 2)
One atom of each set of equivalent atoms:
1 K 0.2487 0.2480 0.4970 [2 per cell]
2 U 0.5000 0.0000 0.0000 [1 per cell]
3 Cl 0.2127 0.1069 0.8246 [2 per cell]
4 Cl 0.2308 0.7087 0.0012 [2 per cell]
5 Cl 0.2342 0.7344 0.4662 [2 per cell]
6 Cl 0.3779 0.2642 0.1756 [2 per cell]

6.
Computed, not measured: a geometry-optimized K3UCl6 structure at the GGA-PBE level of DFT.

## Properties
**Raw formation energy**: -18.75 eV/f.u.
**E**: -4.44 eV per atom

a = 7.6093 Å, b = 8.0797 Å, c = 13.2089 Å
α = 90.00°, β = 123.81°, γ = 90.00°
Space group P2_1/c (No. 14)
One atom of each set of equivalent atoms:
1 K 0.0000 0.0000 0.0000 [2 per cell]
2 K 0.2137 0.0720 0.7414 [4 per cell]
3 U 0.5000 0.0000 0.5000 [2 per cell]
4 Cl 0.1484 0.1811 0.4408 [4 per cell]
5 Cl 0.2481 0.7189 0.4197 [4 per cell]
6 Cl 0.4027 0.0638 0.2682 [4 per cell]

7.
Computed, not measured: a geometry-optimized KUZn2Cl8 structure at the GGA-PBE level of DFT.

## Properties
**Raw formation energy**: -17.10 eV/f.u.
**E**: -3.90 eV per atom

a = 6.5282 Å, b = 6.5282 Å, c = 29.3202 Å
α = 90.00°, β = 90.00°, γ = 120.00°
Space group R-3 (No. 148, hexagonal axes)
One atom of each set of equivalent atoms:
1 K 0.0000 0.0000 0.0000 [3 per cell]
2 U 0.0000 0.0000 0.5000 [3 per cell]
3 Zn 0.0000 0.0000 0.2521 [6 per cell]
4 Cl 0.0000 0.0000 0.3272 [6 per cell]
5 Cl 0.0034 0.6603 0.5562 [18 per cell]

8.
Computed, not measured: a geometry-optimized K5V3Cl12 structure at the GGA-PBE level of DFT.

## Properties
**Raw formation energy**: -31.83 eV/f.u.
**E**: -4.34 eV per atom

a = 12.6789 Å, b = 12.6789 Å, c = 3.8653 Å
α = 90.00°, β = 90.00°, γ = 120.00°
Space group P-62m (No. 189)
One atom of each set of equivalent atoms:
1 K 0.0000 0.7154 0.0000 [3 per cell]
2 K 0.3333 0.6667 0.0000 [2 per cell]
3 V 0.0000 0.3299 0.5000 [3 per cell]
4 Cl 0.0000 0.2009 0.0000 [3 per cell]
5 Cl 0.0000 0.4553 0.0000 [3 per cell]
6 Cl 0.2160 0.7776 0.5000 [6 per cell]

9.
Computed, not measured: a geometry-optimized K2VCl6 structure at the GGA-PBE level of DFT.

## Properties
**Raw formation energy**: -13.70 eV/f.u.
**E**: -4.01 eV per atom

a = 9.9215 Å, b = 9.9215 Å, c = 9.9215 Å
α = 90.00°, β = 90.00°, γ = 90.00°
Space group Fm-3m (No. 225)
One atom of each set of equivalent atoms:
1 K 0.2500 0.2500 0.2500 [8 per cell]
2 V 0.0000 0.0000 0.0000 [4 per cell]
3 Cl 0.0000 0.0000 0.2343 [24 per cell]

10.
Computed, not measured: a geometry-optimized KV2Cl8 structure at the GGA-PBE level of DFT.

## Properties
**Offset from the most stable computed form**: 0 meV per atom
**Raw formation energy**: -14.46 eV/f.u.
**E**: -4.41 eV per atom

a = 7.8931 Å, b = 7.8931 Å, c = 7.1273 Å
α = 90.00°, β = 90.00°, γ = 120.00°
Space group P-3m1 (No. 164)
One atom of each set of equivalent atoms:
1 K 0.0000 0.0000 0.0000 [1 per cell]
2 V 0.3333 0.6667 0.1908 [2 per cell]
3 Cl 0.1820 0.3640 0.2926 [6 per cell]
4 Cl 0.3333 0.6667 0.8861 [2 per cell]

11.
Computed, not measured: a geometry-optimized K3V2Cl7 structure at the GGA-PBE level of DFT.

## Properties
**Raw formation energy**: -18.22 eV/f.u.
**E**: -4.39 eV per atom

a = 4.9693 Å, b = 4.9693 Å, c = 25.5397 Å
α = 90.00°, β = 90.00°, γ = 90.00°
Space group I4/mmm (No. 139)
One atom of each set of equivalent atoms:
1 K 0.0000 0.0000 0.0000 [2 per cell]
2 K 0.0000 0.0000 0.1811 [4 per cell]
3 V 0.0000 0.0000 0.3999 [4 per cell]
4 Cl 0.0000 0.0000 0.3041 [4 per cell]
5 Cl 0.0000 0.0000 0.5000 [2 per cell]
6 Cl 0.0000 0.5000 0.0948 [8 per cell]

12.
Computed, not measured: a geometry-optimized K2VCl5 structure at the GGA-PBE level of DFT.

## Properties
**Offset from the most stable computed form**: 30 meV per atom
**Raw formation energy**: -12.50 eV/f.u.
**E**: -4.13 eV per atom

a = 7.4517 Å, b = 7.4517 Å, c = 8.7842 Å
α = 90.00°, β = 90.00°, γ = 90.00°
Space group I4mm (No. 107)
One atom of each set of equivalent atoms:
1 K 0.0000 0.5000 0.0000 [4 per cell]
2 V 0.0000 0.0000 0.2096 [2 per cell]
3 Cl 0.0000 0.0000 0.9594 [2 per cell]
4 Cl 0.2203 0.2203 0.2586 [8 per cell]

Question: What is the raw formation energy in the second record?
Answer: -13.82 eV/f.u.